This record from Alexandria describes a crystal of NiGe3N relaxed with PBEsol. The functional is SCAN.

- density of states at the Fermi level (states/eV/f.u.) = 1.61
- size of the total moment (μB per cell) = 0.0
- space-group type = Pm-3m, No. 221
- E (Ry/atom) = -1.13757

Lattice parameters (Å, degrees): 4.3827 4.3827 4.3827 90.00 90.00 90.00
With the nearest neighbours (Å) after each atom.
Atoms (fractional coordinates):
1 Ni 0.0000 0.0000 0.0000  6 Ge 2.19
2 Ge 0.0000 0.0000 0.5000  2 Ni 2.19
3 Ge 0.0000 0.5000 0.0000  2 Ni 2.19
4 Ge 0.5000 0.0000 0.0000  2 Ni 2.19
5 N 0.5000 0.5000 0.5000  12 Ge 3.10